! ErPuPa2N4, relaxed, DFT GGA-PBE; values from VASP
! **Formation energy without anion corrections**: -12.6 eV/f.u.
&SYSTEM
  ibrav = 0, nat = 8, ntyp = 4
/
ATOMIC_SPECIES
Er 167.26 Er.upf
Pu 244.00 Pu.upf
Pa 231.04 Pa.upf
N 14.01 N.upf
CELL_PARAMETERS angstrom
6.0131 0.0000 0.0000
0.0000 3.4849 0.0000
-2.0338 0.0000 5.7164
ATOMIC_POSITIONS angstrom
Er 0.0000 0.0000 0.0000
Pu -1.0169 1.7425 2.8582
Pa 1.9897 0.0000 2.8582
Pa 3.0066 1.7425 0.0000
N 1.0497 1.7425 1.4066
N 0.0159 0.0000 4.3472
N 3.9634 0.0000 1.3692
N 2.9296 1.7425 4.3098


! V2HRuRh, relaxed, DFT GGA-PBE; values from VASP
! **Polymorph energy (0 for the lowest one)**: 0 meV/atom
&SYSTEM
  ibrav = 0, nat = 5, ntyp = 4
/
ATOMIC_SPECIES
V 50.94 V.upf
H 1.01 H.upf
Ru 101.07 Ru.upf
Rh 102.91 Rh.upf
CELL_PARAMETERS angstrom
3.9247 0.0000 0.0000
0.0000 3.9247 0.0000
0.0000 0.0000 3.6946
ATOMIC_POSITIONS angstrom
V 0.0000 1.9624 0.0000
V 1.9624 0.0000 0.0000
H 0.0000 0.0000 0.0000
Ru 0.0000 0.0000 1.8473
Rh 1.9624 1.9624 1.8473


! NdDyPtRh, relaxed, DFT GGA-PBE; values from VASP
! **Polymorph energy (0 for the lowest one)**: 53 meV/atom
! **Formation energy from the elements**: -0.932 eV/atom
&SYSTEM
  ibrav = 0, nat = 4, ntyp = 4
/
ATOMIC_SPECIES
Nd 144.24 Nd.upf
Dy 162.50 Dy.upf
Pt 195.08 Pt.upf
Rh 102.91 Rh.upf
CELL_PARAMETERS angstrom
0.0000 3.5207 3.5207
3.5207 0.0000 3.5207
3.5207 3.5207 0.0000
ATOMIC_POSITIONS angstrom
Nd 0.0000 0.0000 0.0000
Dy 3.5207 3.5207 3.5207
Pt 1.7604 1.7604 1.7604
Rh 5.2811 5.2811 5.2811


! Tb2Sm2DyMg, relaxed, DFT GGA-PBE; values from VASP
! **Formation energy from the elements**: 0.453 eV/atom
&SYSTEM
  ibrav = 0, nat = 12, ntyp = 4
/
ATOMIC_SPECIES
Tb 158.93 Tb.upf
Sm 150.36 Sm.upf
Dy 162.50 Dy.upf
Mg 24.30 Mg.upf
CELL_PARAMETERS angstrom
10.3172 0.0000 0.0000
0.0000 11.8167 0.0000
0.0000 0.0000 3.6159
ATOMIC_POSITIONS angstrom
Tb 2.5649 0.8140 0.0000
Tb 2.5937 6.7224 1.8080
Tb 7.7235 5.0943 1.8080
Tb 7.7522 11.0026 0.0000
Sm 1.0329 3.2630 1.8080
Sm 4.1257 9.1713 0.0000
Sm 6.1914 2.6454 0.0000
Sm 9.2843 8.5537 1.8080
Dy 0.0000 5.9083 0.0000
Dy 5.1586 0.0000 1.8080
Mg 0.0000 0.0000 1.8080
Mg 5.1586 5.9083 0.0000


! Ce3Sm2Tc2, relaxed, DFT GGA-PBE; values from VASP
! **Formation energy from the elements**: -0.061 eV/atom
&SYSTEM
  ibrav = 0, nat = 7, ntyp = 3
/
ATOMIC_SPECIES
Ce 140.12 Ce.upf
Sm 150.36 Sm.upf
Tc 98.00 Tc.upf
CELL_PARAMETERS angstrom
5.8929 -1.9240 0.0000
5.8929 1.9240 0.0000
-3.1666 0.0000 7.9561
ATOMIC_POSITIONS angstrom
Ce 0.0000 0.0000 0.0000
Ce 0.0219 0.0000 3.4041
Ce 8.5974 0.0000 4.5520
Sm 3.3738 0.0000 1.5183
Sm 5.2455 0.0000 6.4378
Tc 1.8141 0.0000 6.1007
Tc 6.8052 0.0000 1.8554


! Sm3SbPt8, relaxed, DFT GGA-PBE; values from VASP
! **Formation energy without anion corrections**: -10.5 eV/f.u.
&SYSTEM
  ibrav = 0, nat = 12, ntyp = 3
/
ATOMIC_SPECIES
Sm 150.36 Sm.upf
Sb 121.76 Sb.upf
Pt 195.08 Pt.upf
CELL_PARAMETERS angstrom
5.5218 0.0000 0.0000
-2.7609 4.7820 0.0000
0.0000 0.0000 8.9517
ATOMIC_POSITIONS angstrom
Sm 0.0000 0.0000 0.0000
Sm 0.0000 0.0000 3.4752
Sm 2.7609 1.5940 5.0022
Sb 2.7609 1.5940 8.5639
Pt -1.3794 2.3916 1.8985
Pt 0.0000 1.5789 6.2743
Pt -1.3936 3.9926 6.2743
Pt 0.0000 3.1880 4.0778
Pt 0.0000 3.1880 8.5301
Pt 0.0000 4.7808 1.8985
Pt 1.3794 2.3916 1.8985
Pt 1.3936 3.9926 6.2743


! La5Ho4Tm2, relaxed, DFT GGA-PBE; values from VASP
! **Polymorph energy (0 for the lowest one)**: 0 meV/atom
! **Formation energy from the elements**: 0.083 eV/atom
&SYSTEM
  ibrav = 0, nat = 11, ntyp = 3
/
ATOMIC_SPECIES
La 138.91 La.upf
Ho 164.93 Ho.upf
Tm 168.93 Tm.upf
CELL_PARAMETERS angstrom
8.8675 -1.7798 0.0000
8.8675 1.7798 0.0000
-0.8028 0.0000 11.7142
ATOMIC_POSITIONS angstrom
La 0.0000 0.0000 0.0000
La 4.9894 0.0000 10.8704
La 6.7426 0.0000 5.4420
La 10.1895 0.0000 6.2722
La 11.9427 0.0000 0.8438
Ho 1.8556 0.0000 9.3350
Ho 7.6207 0.0000 8.6393
Ho 9.3114 0.0000 3.0749
Ho 15.0766 0.0000 2.3792
Tm 3.5344 0.0000 4.0773
Tm 13.3977 0.0000 7.6369


! CeMgGa2, relaxed, DFT GGA-PBE; values from VASP
! **Formation energy from the elements**: -0.375 eV/atom
&SYSTEM
  ibrav = 0, nat = 4, ntyp = 3
/
ATOMIC_SPECIES
Ce 140.12 Ce.upf
Mg 24.30 Mg.upf
Ga 69.72 Ga.upf
CELL_PARAMETERS angstrom
4.5361 0.0000 0.0000
0.0000 4.5361 0.0000
0.0000 0.0000 4.2338
ATOMIC_POSITIONS angstrom
Ce 0.0000 0.0000 0.0000
Mg 2.2681 2.2681 0.0000
Ga 0.0000 2.2681 2.1169
Ga 2.2681 0.0000 2.1169


What did we get for density? Answer: 12.883, 8.954, 11.505, 6.067, 8.441, 14.988, 7.599, 5.792 g/cm³, in the order shown.
What did we get for electronic total energy? Answer: -10.470, -7.863, -6.622, -3.697, -6.914, -6.428, -4.634, -3.770 eV per atom, in the order shown.